The following is a DFT calculation (PBE) of crystalline Si2WCl at its relaxed geometry.

Properties
ΔE_f (raw), eV per atom: 0.540

```
data_Si2WCl
_chemical_formula_sum 'Si4 W2 Cl2'
_space_group_name_H-M_alt 'C m m m'
_space_group_IT_number 65
_space_group_name_Hall '-C 2 2'
_cell_length_a 6.871
_cell_length_b 6.882
_cell_length_c 2.710
_cell_angle_alpha 90.00
_cell_angle_beta 90.00
_cell_angle_gamma 90.00
loop_
_atom_site_label
_atom_site_type_symbol
_atom_site_fract_x
_atom_site_fract_y
_atom_site_fract_z
_atom_site_occupancy
Si1 Si 0.250 0.250 0.000 1
W1 W 0.000 0.000 0.500 1
Cl1 Cl 0.000 0.500 0.500 1
```



The following is a DFT calculation (PBE) of crystalline NdCd3Cu8 at its relaxed geometry.

Properties
ΔE_f, eV per atom: -0.073

```
data_NdCd3Cu8
_chemical_formula_sum 'Nd1 Cd3 Cu8'
_space_group_name_H-M_alt 'P 3 m 1'
_space_group_IT_number 156
_space_group_name_Hall 'P 3 -2"'
_cell_length_a 5.1323
_cell_length_b 5.1323
_cell_length_c 8.2840
_cell_angle_alpha 90.00
_cell_angle_beta 90.00
_cell_angle_gamma 120.00
loop_
_atom_site_label
_atom_site_type_symbol
_atom_site_fract_x
_atom_site_fract_y
_atom_site_fract_z
_atom_site_occupancy
Nd1 Nd 0.0000 0.0000 0.0000 1
Cd1 Cd 0.0000 0.0000 0.3896 1
Cd2 Cd 0.6667 0.3333 0.4915 1
Cd3 Cd 0.6667 0.3333 0.8522 1
Cu1 Cu 0.1672 0.3343 0.6806 1
Cu2 Cu 0.3333 0.6667 0.4319 1
Cu3 Cu 0.3333 0.6667 0.9343 1
Cu4 Cu 0.5023 0.0045 0.1917 1
```



The following is a DFT calculation (PBE) of crystalline Pm2Ho2Tm2In at its relaxed geometry.

Properties
ΔE_f, eV per atom: -0.020

```
data_Pm2Ho2Tm2In
_chemical_formula_sum 'Pm4 Ho4 Tm4 In2'
_space_group_name_H-M_alt 'C 1 2/m 1'
_space_group_IT_number 12
_space_group_name_Hall '-C 2y'
_cell_length_a 11.705
_cell_length_b 3.508
_cell_length_c 11.546
_cell_angle_alpha 90.00
_cell_angle_beta 112.83
_cell_angle_gamma 90.00
loop_
_atom_site_label
_atom_site_type_symbol
_atom_site_fract_x
_atom_site_fract_y
_atom_site_fract_z
_atom_site_occupancy
Pm1 Pm 0.030 0.000 0.256 1
Ho1 Ho 0.176 0.000 0.586 1
Tm1 Tm 0.249 0.000 0.131 1
In1 In 0.000 0.500 0.000 1
```



The following is a DFT calculation (PBE) of crystalline Ho2ErMg at its relaxed geometry.

Properties
ΔE_f, eV per atom: 0.019

```
data_Ho2ErMg
_chemical_formula_sum 'Ho6 Er3 Mg3'
_space_group_name_H-M_alt 'R -3 m'
_space_group_IT_number 166
_space_group_name_Hall '-R 3 2"'
_cell_length_a 3.4929
_cell_length_b 3.4929
_cell_length_c 33.3629
_cell_angle_alpha 90.00
_cell_angle_beta 90.00
_cell_angle_gamma 120.00
loop_
_atom_site_label
_atom_site_type_symbol
_atom_site_fract_x
_atom_site_fract_y
_atom_site_fract_z
_atom_site_occupancy
Ho1 Ho 0.0000 0.0000 0.2478 1
Er1 Er 0.0000 0.0000 0.0000 1
Mg1 Mg 0.0000 0.0000 0.5000 1
```



The records above give, respectively, electronic total energy values of -5.871, -3.429, -4.354, -3.809 eV/atom.
The records above give, respectively, calculated density values of 7.140, 8.698, 8.152, 7.369 g cm⁻³.
The records above give, respectively, V values of 16.02, 15.75, 31.21, 29.38 A^3/atom.